A plane-wave DFT calculation with PBE-GGA was carried out for a relaxed structure of BaAlCu.

Final energy ... -0.236 Ry per atom
Spin magnetization ... 0.00 μB per formula unit
ΔE_f ... 0.040 eV/atom

Lattice parameters (Å, degrees): 6.595 6.595 6.595 149.74 149.52 43.49
Atoms (fractional coordinates):
1 Al 0.048 0.048 0.000
2 Ba 0.330 0.330 0.000
3 Cu 0.621 0.621 0.000

A plane-wave DFT calculation with PBE-GGA was carried out for a relaxed structure of BaAl2Cu2.

Final energy ... -0.271 Ry per atom
Spin magnetization ... 0.00 μB per formula unit
ΔE_f ... -0.169 eV/atom

Lattice parameters (Å, degrees): 4.272 4.272 6.704 71.42 71.42 90.00
Atoms (fractional coordinates):
1 Ba 0.000 0.000 0.000
2 Cu 0.360 0.360 0.279
3 Cu 0.640 0.640 0.721
4 Al 0.750 0.250 0.500
5 Al 0.250 0.750 0.500